# 1
Density functional theory data (GGA-PBE) for crystalline TlCd8Ga2 at its relaxed geometry.

```
TlCd8Ga2
1.0
4.338 -6.415 0.000
4.338 6.415 0.000
-3.407 0.000 4.785
Tl Cd Ga
1 8 2
Direct
0.000 0.000 0.000
0.086 0.320 0.599
0.235 0.765 0.000
0.320 0.086 0.599
0.412 0.412 0.173
0.588 0.588 0.827
0.680 0.914 0.401
0.765 0.235 0.000
0.914 0.680 0.401
0.309 0.691 0.500
0.691 0.309 0.500
```

Summary:
The total magnetization is 0.00 Bohr magnetons per cell. Its space-group type is C2/m, No. 12. Its density of states at the Fermi level is 2.96 states/eV per cell. Its total energy is -1.34 eV/atom.

# 2
Density functional theory data (GGA-PBE) for crystalline TlCdGa at its relaxed geometry.

```
TlCdGa
1.0
12.350 0.000 0.000
0.000 4.517 0.000
-1.541 0.000 5.470
Tl Cd Ga
4 4 4
Direct
0.125 0.000 0.321
0.375 0.500 0.679
0.625 0.500 0.321
0.875 0.000 0.679
0.059 0.500 0.773
0.441 0.000 0.227
0.559 0.000 0.773
0.941 0.500 0.227
0.224 0.000 0.858
0.276 0.500 0.142
0.724 0.500 0.858
0.776 0.000 0.142
```

Summary:
The total magnetization is 0.00 Bohr magnetons per cell. Its space-group type is C2/m, No. 12. Its density of states at the Fermi level is 4.22 states/eV per cell. Its total energy is -2.04 eV/atom.

# 3
Density functional theory data (GGA-PBE) for crystalline TlCd3Ga at its relaxed geometry.

```
TlCd3Ga
1.0
8.453 -4.743 0.000
8.453 4.743 0.000
-1.415 0.000 6.114
Tl Cd Ga
4 12 4
Direct
0.038 0.962 0.750
0.335 0.665 0.250
0.665 0.335 0.750
0.962 0.038 0.250
0.006 0.338 0.597
0.011 0.336 0.076
0.306 0.311 0.405
0.311 0.306 0.905
0.336 0.011 0.576
0.338 0.006 0.097
0.662 0.994 0.903
0.664 0.989 0.424
0.689 0.694 0.095
0.694 0.689 0.595
0.989 0.664 0.924
0.994 0.662 0.403
0.267 0.576 0.724
0.424 0.733 0.776
0.576 0.267 0.224
0.733 0.424 0.276
```

Summary:
The total magnetization is 0.00 Bohr magnetons per cell. Its space-group type is C2/c, No. 15. Its density of states at the Fermi level is 6.10 states/eV per cell. Its total energy is -1.59 eV/atom.

# 4
Density functional theory data (GGA-PBE) for crystalline Tl3Cd3Ga at its relaxed geometry.

```
Tl3Cd3Ga
1.0
8.208 0.000 0.000
0.000 8.208 0.000
0.000 0.000 8.208
Tl Cd Ga
6 6 2
Direct
0.000 0.250 0.500
0.000 0.750 0.500
0.250 0.500 0.000
0.500 0.000 0.250
0.500 0.000 0.750
0.750 0.500 0.000
0.000 0.500 0.250
0.000 0.500 0.750
0.250 0.000 0.500
0.500 0.250 0.000
0.500 0.750 0.000
0.750 0.000 0.500
0.000 0.000 0.000
0.500 0.500 0.500
```

Summary:
The total magnetization is 0.00 Bohr magnetons per cell. Its space-group type is Pm-3n, No. 223. Its density of states at the Fermi level is 11.30 states/eV per cell. Its total energy is -1.37 eV/atom.

# 5
Density functional theory data (GGA-PBE) for crystalline Tl2CdGa2 at its relaxed geometry.

```
Tl2CdGa2
1.0
3.769 0.000 0.000
0.000 3.769 0.000
0.000 0.000 18.346
Tl Cd Ga
4 2 4
Direct
0.000 0.000 0.106
0.000 0.000 0.894
0.500 0.500 0.394
0.500 0.500 0.606
0.000 0.000 0.500
0.500 0.500 0.000
0.000 0.500 0.250
0.000 0.500 0.750
0.500 0.000 0.250
0.500 0.000 0.750
```

Summary:
The total magnetization is 0.00 Bohr magnetons per cell. Its space-group type is I4/mmm, No. 139. Its density of states at the Fermi level is 5.38 states/eV per cell. Its total energy is -2.24 eV/atom.

# 6
Density functional theory data (GGA-PBE) for crystalline TlCd2Ga2 at its relaxed geometry.

```
TlCd2Ga2
1.0
4.470 0.000 0.000
0.000 4.470 0.000
0.000 0.000 12.104
Tl Cd Ga
2 4 4
Direct
0.000 0.000 0.000
0.500 0.500 0.500
0.000 0.500 0.250
0.000 0.500 0.750
0.500 0.000 0.250
0.500 0.000 0.750
0.000 0.000 0.395
0.000 0.000 0.605
0.500 0.500 0.105
0.500 0.500 0.895
```

Summary:
The total magnetization is 0.00 Bohr magnetons per cell. Its space-group type is I4/mmm, No. 139. Its density of states at the Fermi level is 4.30 states/eV per cell. Its total energy is -2.00 eV/atom.

# 7
Density functional theory data (GGA-PBE) for crystalline TlCdGa at its relaxed geometry.

```
TlCdGa
1.0
7.944 0.000 0.000
0.000 4.584 0.000
-2.414 0.000 8.799
Tl Cd Ga
4 4 4
Direct
0.206 0.000 0.122
0.294 0.500 0.878
0.706 0.500 0.122
0.794 0.000 0.878
0.065 0.000 0.691
0.435 0.500 0.309
0.565 0.500 0.691
0.935 0.000 0.309
0.155 0.500 0.462
0.345 0.000 0.538
0.655 0.000 0.462
0.845 0.500 0.538
```

Summary:
The total magnetization is 0.00 Bohr magnetons per cell. Its space-group type is C2/m, No. 12. Its density of states at the Fermi level is 3.76 states/eV per cell. Its total energy is -2.02 eV/atom.

# 8
Density functional theory data (GGA-PBE) for crystalline TlCdGa at its relaxed geometry.

```
TlCdGa
1.0
3.232 0.000 0.000
-1.616 2.799 0.000
0.000 0.000 8.189
Tl Cd Ga
1 1 1
Direct
0.000 0.000 0.000
0.667 0.333 0.363
0.333 0.667 0.665
```

Summary:
The total magnetization is 0.00 Bohr magnetons per cell. Its space-group type is P3m1, No. 156. Its density of states at the Fermi level is 1.81 states/eV per cell. Its total energy is -2.00 eV/atom.